Record 1
The following is a DFT calculation (PBE) of Sc4InGa3 after structural relaxation.

a b c (Å): 9.7657 6.5419 4.9684
angles (deg): 90.00 90.00 90.00
Space group Pmma (No. 51)
One atom of each set of equivalent atoms:
Sc: 0.0000 0.2418 0.0000 (multiplicity 4)
Sc: 0.2500 0.2410 0.4235 (multiplicity 4)
In: 0.0000 0.5000 0.5000 (multiplicity 2)
Ga: 0.0000 0.0000 0.5000 (multiplicity 2)
Ga: 0.2500 0.0000 0.9138 (multiplicity 2)
Ga: 0.2500 0.5000 0.9182 (multiplicity 2)

---

Record 2
The following is a DFT calculation (PBE) of Sc5InGa4 after structural relaxation.

a b c (Å): 3.3391 3.3391 17.6368
angles (deg): 90.00 90.00 90.00
Space group P4/mmm (No. 123)
One atom of each set of equivalent atoms:
Sc: 0.0000 0.0000 0.0000 (multiplicity 1)
Sc: 0.0000 0.0000 0.1918 (multiplicity 2)
Sc: 0.0000 0.0000 0.3861 (multiplicity 2)
In: 0.5000 0.5000 0.5000 (multiplicity 1)
Ga: 0.5000 0.5000 0.0956 (multiplicity 2)
Ga: 0.5000 0.5000 0.2892 (multiplicity 2)

---

Record 3
The following is a DFT calculation (PBE) of Sc2InGa2 after structural relaxation.

a b c (Å): 8.0870 8.0870 3.2869
angles (deg): 90.00 90.00 90.00
Space group P4/mbm (No. 127)
One atom of each set of equivalent atoms:
Sc: 0.1330 0.3670 0.0000 (multiplicity 4)
In: 0.0000 0.0000 0.0000 (multiplicity 2)
Ga: 0.1722 0.6722 0.5000 (multiplicity 4)

---

Record 4
The following is a DFT calculation (PBE) of TbScInGa after structural relaxation.

a b c (Å): 3.5224 3.5224 7.3577
angles (deg): 90.00 90.00 90.00
Space group P4mm (No. 99)
One atom of each set of equivalent atoms:
Tb: 0.0000 0.0000 0.0000 (multiplicity 1)
Sc: 0.0000 0.0000 0.4679 (multiplicity 1)
In: 0.5000 0.5000 0.7147 (multiplicity 1)
Ga: 0.5000 0.5000 0.2536 (multiplicity 1)

---

Record 5
The following is a DFT calculation (PBE) of TbScInGa after structural relaxation.

a b c (Å): 7.1692 7.1692 7.1692
angles (deg): 90.00 90.00 90.00
Space group F-43m (No. 216)
One atom of each set of equivalent atoms:
Tb: 0.0000 0.0000 0.0000 (multiplicity 4)
Sc: 0.0000 0.0000 0.5000 (multiplicity 4)
In: 0.2500 0.2500 0.7500 (multiplicity 4)
Ga: 0.2500 0.2500 0.2500 (multiplicity 4)

---

Record 6
The following is a DFT calculation (PBE) of Sc2InGaTc after structural relaxation.

a b c (Å): 4.9938 4.9938 4.5991
angles (deg): 90.00 90.00 90.00
Space group P4/mmm (No. 123)
One atom of each set of equivalent atoms:
Sc: 0.0000 0.5000 0.0000 (multiplicity 2)
In: 0.0000 0.0000 0.5000 (multiplicity 1)
Ga: 0.5000 0.5000 0.0000 (multiplicity 1)
Tc: 0.5000 0.5000 0.5000 (multiplicity 1)

---

Record 7
The following is a DFT calculation (PBE) of ThScInGa after structural relaxation.

a b c (Å): 7.3222 7.3222 7.3222
angles (deg): 90.00 90.00 90.00
Space group F-43m (No. 216)
One atom of each set of equivalent atoms:
Th: 0.0000 0.0000 0.0000 (multiplicity 4)
Sc: 0.0000 0.0000 0.5000 (multiplicity 4)
In: 0.2500 0.2500 0.2500 (multiplicity 4)
Ga: 0.2500 0.2500 0.7500 (multiplicity 4)

---

Record 8
The following is a DFT calculation (PBE) of TmScInGa after structural relaxation.

a b c (Å): 7.1075 7.1075 7.1075
angles (deg): 90.00 90.00 90.00
Space group F-43m (No. 216)
One atom of each set of equivalent atoms:
Tm: 0.0000 0.0000 0.0000 (multiplicity 4)
Sc: 0.0000 0.0000 0.5000 (multiplicity 4)
In: 0.2500 0.2500 0.7500 (multiplicity 4)
Ga: 0.2500 0.2500 0.2500 (multiplicity 4)

---

For reference, energy relative to the elements by record: -50.76, -53.63, -28.48, -48.86, -46.17, 26.31, -31.81, -44.65 kJ/mol of atoms.
For reference, VASP energy by record: -5.1692, -5.2062, -4.5862, -4.6882, -4.6603, -5.4862, -5.2088, -4.6049 eV/atom.